[1]
Nd4RhBr5 | PBE-GGA | relaxed

D(E_F) (states/eV/f.u.): 6.352
Raw formation energy (meV/atom): -1451.6
Electronic total energy (eV/atom): -4.93

POSCAR file:
```
Nd4RhBr5
1.0
-0.826 -0.215 3.980
-8.642 -0.243 -1.807
3.081 -9.121 -1.935
Br Nd Rh
5 4 1
Cartesian
-0.020 -6.170 1.744
-6.366 -3.409 -1.506
-4.295 -6.404 0.844
-2.091 -3.174 -0.606
-4.734 -0.229 1.086
-6.013 -6.629 -1.606
-0.374 -2.949 1.845
-4.512 -9.517 0.631
-1.875 -0.062 -0.393
-0.413 -0.108 1.990
```

---

[2]
Nd4Rh2Br5 | PBE-GGA | relaxed

D(E_F) (states/eV/f.u.): 6.496
Raw formation energy (meV/atom): -728.9
Electronic total energy (eV/atom): -4.56

POSCAR file:
```
Nd4Rh2Br5
1.0
3.764 0.000 0.000
0.000 9.456 0.000
-1.882 -4.728 9.304
Br Rh Nd
5 2 4
Cartesian
0.000 7.092 2.929
1.882 0.000 0.000
0.000 2.365 2.929
1.882 -2.364 6.375
1.882 2.364 6.375
0.000 0.000 3.635
1.882 4.728 5.669
1.882 4.728 3.230
0.000 2.743 0.000
0.000 6.714 0.000
0.000 0.000 6.074
```

---

[3]
Nd4Rh2Br | PBE-GGA | relaxed

D(E_F) (states/eV/f.u.): 5.357
Raw formation energy (meV/atom): -796.2
Electronic total energy (eV/atom): -5.86

POSCAR file:
```
Nd4Rh2Br
1.0
-4.067 0.598 -0.603
-2.594 -3.245 -0.036
-4.078 0.451 13.640
Br Nd Rh
1 4 2
Cartesian
0.000 0.000 0.000
-8.205 -1.539 10.868
-2.535 -0.656 2.133
-7.376 -2.134 4.690
-3.364 -0.062 8.311
-4.957 -1.394 3.422
-5.783 -0.802 9.579
```

---

Q: Number 3 is which compound?
A: Nd4Rh2Br